1.
A geometry-optimized CaHgPb4 structure. Source: Alexandria via LeMat-Bulk, functional PBE-GGA.

Cell: 6.507 6.507 6.507 Å, 60.00 60.00 60.00°
Element x y z (fractional)
Ca (0.750, 0.750, 0.750)
Hg (0.000, 0.000, 0.000)
Pb (0.873, 0.376, 0.376)
Pb (0.376, 0.376, 0.873)
Pb (0.376, 0.873, 0.376)
Pb (0.376, 0.376, 0.376)

Properties
The value obtained for the energy relative to the lowest polymorph listed for this composition is 93 meV/atom. The electronic total energy comes out at -17.656 eV per cell.

2.
A geometry-optimized AlV3Rh structure. Source: Alexandria via LeMat-Bulk, functional PBE-GGA.

Cell: 4.372 4.372 4.372 Å, 90.00 90.00 90.00°
Element x y z (fractional)
Rh (0.500, 0.500, 0.500)
Al (0.000, 0.000, 0.000)
V (0.000, 0.500, 0.000)
V (0.000, 0.000, 0.500)
V (0.500, 0.000, 0.000)

Properties
The value obtained for the energy relative to the lowest polymorph listed for this composition is 349 meV/atom. The electronic total energy comes out at -32.068 eV per cell.

3.
A geometry-optimized Sr2TmCuO5 structure. Source: Alexandria via LeMat-Bulk, functional PBE-GGA.

Cell: 3.449 6.824 11.303 Å, 90.00 90.00 104.64°
Element x y z (fractional)
Sr (0.852, 0.705, 0.809)
Sr (0.092, 0.185, 0.684)
Sr (0.148, 0.295, 0.309)
Sr (0.908, 0.815, 0.184)
Tm (0.794, 0.588, 0.526)
Tm (0.206, 0.412, 0.026)
Cu (0.521, 0.041, 0.945)
Cu (0.479, 0.959, 0.445)
O (0.375, 0.750, 0.987)
O (0.667, 0.333, 0.899)
O (0.485, 0.970, 0.780)
O (0.276, 0.551, 0.653)
O (0.956, 0.911, 0.541)
O (0.625, 0.250, 0.487)
O (0.333, 0.667, 0.399)
O (0.515, 0.030, 0.280)
O (0.724, 0.449, 0.153)
O (0.044, 0.089, 0.041)

Properties
The calculation puts the uncorrected formation energy at -2310 meV per atom. The electronic total energy comes out at -115.028 eV per cell.

4.
A geometry-optimized ZrTaCl2 structure. Source: Alexandria via LeMat-Bulk, functional PBE-GGA.

Cell: 4.313 4.313 8.984 Å, 76.11 76.11 90.00°
Element x y z (fractional)
Cl (0.635, 0.125, 0.250)
Cl (0.115, 0.625, 0.250)
Cl (0.375, 0.365, 0.750)
Cl (0.875, 0.885, 0.750)
Zr (0.500, 0.500, 0.000)
Zr (0.250, 0.750, 0.500)
Ta (0.000, 0.000, 0.000)
Ta (0.750, 0.250, 0.500)

Properties
The calculation puts the uncorrected formation energy at -155 meV per atom. The value obtained for the energy relative to the lowest polymorph listed for this composition is 723 meV/atom. The electronic total energy comes out at -49.428 eV per cell.

5.
A geometry-optimized Pu2CdSn3Pt4 structure. Source: Alexandria via LeMat-Bulk, functional PBE-GGA.

Cell: 4.267 4.267 12.124 Å, 90.00 90.00 90.00°
Element x y z (fractional)
Pu (0.500, 0.000, 0.259)
Pu (0.000, 0.500, 0.741)
Cd (0.500, 0.500, 0.500)
Sn (0.000, 0.000, 0.500)
Sn (0.500, 0.000, 0.867)
Sn (0.000, 0.500, 0.133)
Pt (0.500, 0.500, 0.000)
Pt (0.000, 0.000, 0.000)
Pt (0.500, 0.000, 0.651)
Pt (0.000, 0.500, 0.349)

Properties
The electronic total energy comes out at -71.190 eV per cell.

6.
A geometry-optimized Mg2ScRh structure. Source: Alexandria via LeMat-Bulk, functional PBE-GGA.

Cell: 4.675 4.675 4.675 Å, 60.00 60.00 60.00°
Element x y z (fractional)
Sc (0.000, 0.000, 0.000)
Mg (0.250, 0.250, 0.250)
Mg (0.750, 0.750, 0.750)
Rh (0.500, 0.500, 0.500)

Properties
The electronic total energy comes out at -17.914 eV per cell.

7.
A geometry-optimized TbH10Ru3 structure. Source: Alexandria via LeMat-Bulk, functional PBE-GGA.

Cell: 6.555 6.555 6.555 Å, 60.00 60.00 60.00°
Element x y z (fractional)
Tb (0.250, 0.250, 0.250)
Tb (0.750, 0.750, 0.750)
H (0.000, 0.000, 0.334)
H (0.000, 0.334, 0.000)
H (0.334, 0.000, 0.000)
H (0.666, 0.334, 0.000)
H (0.393, 0.393, 0.393)
H (0.179, 0.607, 0.607)
H (0.393, 0.821, 0.393)
H (0.666, 0.000, 0.334)
H (0.393, 0.393, 0.821)
H (0.821, 0.393, 0.393)
H (0.607, 0.607, 0.179)
H (0.000, 0.000, 0.666)
H (0.334, 0.666, 0.000)
H (0.000, 0.666, 0.334)
H (0.000, 0.334, 0.666)
H (0.666, 0.000, 0.000)
H (0.607, 0.607, 0.607)
H (0.000, 0.666, 0.000)
H (0.607, 0.179, 0.607)
H (0.334, 0.000, 0.666)
Ru (0.740, 0.740, 0.260)
Ru (0.740, 0.260, 0.740)
Ru (0.260, 0.740, 0.740)
Ru (0.260, 0.260, 0.740)
Ru (0.740, 0.260, 0.260)
Ru (0.260, 0.740, 0.260)

Properties
The electronic total energy comes out at -134.968 eV per cell.

8.
A geometry-optimized Er6Ni2Pb structure. Source: Alexandria via LeMat-Bulk, functional PBE-GGA.

Cell: 8.391 8.391 8.391 Å, 106.00 109.48 113.01°
Element x y z (fractional)
Er (0.523, 0.705, 0.818)
Er (0.477, 0.295, 0.182)
Er (0.112, 0.295, 0.818)
Er (0.888, 0.705, 0.182)
Er (0.791, 0.768, 0.560)
Er (0.209, 0.232, 0.440)
Er (0.209, 0.768, 0.977)
Er (0.791, 0.232, 0.023)
Er (0.691, 0.365, 0.675)
Er (0.309, 0.635, 0.325)
Er (0.309, 0.984, 0.675)
Er (0.691, 0.016, 0.325)
Ni (0.500, 0.376, 0.876)
Ni (0.500, 0.624, 0.124)
Ni (0.646, 0.000, 0.646)
Ni (0.354, 0.000, 0.354)
Pb (0.000, 0.500, 0.500)
Pb (0.000, 0.000, 0.000)

Properties
The electronic total energy comes out at -91.912 eV per cell.

9.
A geometry-optimized NaReAs3 structure. Source: Alexandria via LeMat-Bulk, functional PBE-GGA.

Cell: 4.917 4.917 4.917 Å, 90.00 90.00 90.00°
Element x y z (fractional)
Re (0.000, 0.000, 0.000)
As (0.000, 0.500, 0.000)
As (0.000, 0.000, 0.500)
As (0.500, 0.000, 0.000)
Na (0.500, 0.500, 0.500)

Properties
The value obtained for the energy relative to the lowest polymorph listed for this composition is 0 meV/atom. The electronic total energy comes out at -26.035 eV per cell.

10.
A geometry-optimized AlNi2W structure. Source: Alexandria via LeMat-Bulk, functional PBE-GGA.

Cell: 3.678 3.678 8.780 Å, 77.91 77.91 90.00°
Element x y z (fractional)
Ni (0.616, 0.125, 0.250)
Ni (0.134, 0.625, 0.250)
Ni (0.375, 0.384, 0.750)
Ni (0.875, 0.866, 0.750)
Al (0.500, 0.500, 0.000)
Al (0.250, 0.750, 0.500)
W (0.000, 0.000, 0.000)
W (0.750, 0.250, 0.500)

Properties
The electronic total energy comes out at -53.765 eV per cell.

11.
A geometry-optimized Tl2InB structure. Source: Alexandria via LeMat-Bulk, functional PBE-GGA.

Cell: 5.174 5.174 5.174 Å, 60.00 60.00 60.00°
Element x y z (fractional)
Tl (0.250, 0.250, 0.250)
Tl (0.750, 0.750, 0.750)
B (0.000, 0.000, 0.000)
In (0.500, 0.500, 0.500)

Properties
The value obtained for the energy relative to the lowest polymorph listed for this composition is 250 meV/atom. The electronic total energy comes out at -10.154 eV per cell.

12.
A geometry-optimized SrCoGe2 structure. Source: Alexandria via LeMat-Bulk, functional PBE-GGA.

Cell: 5.145 5.145 8.302 Å, 71.95 71.95 90.00°
Element x y z (fractional)
Sr (0.000, 0.000, 0.000)
Sr (0.750, 0.250, 0.500)
Ge (0.376, 0.125, 0.250)
Ge (0.374, 0.625, 0.250)
Ge (0.375, 0.624, 0.750)
Ge (0.875, 0.626, 0.750)
Co (0.500, 0.500, 0.000)
Co (0.250, 0.750, 0.500)

Properties
The electronic total energy comes out at -37.939 eV per cell.

Number 1: magnetization 0.0 μB/cell. Number 2: magnetization 0.1 μB/cell. Number 3: magnetization 0.0 μB/cell. Number 4: magnetization 0.0 μB/cell. Number 5: magnetization 11.4 μB/cell. Number 6: magnetization 0.0 μB/cell. Number 7: magnetization 0.0 μB/cell. Number 8: magnetization 0.0 μB/cell. Number 9: magnetization 0.0 μB/cell. Number 10: magnetization 0.0 μB/cell. Number 11: magnetization 0.0 μB/cell. Number 12: magnetization 0.0 μB/cell.